Compound: La2SmPb
Source: Alexandria
Functional: PBE
Structure: relaxed

Summary:
**Raw total energy**: -4.934 eV per atom
**D(E_F)**: 5.3 states/eV/cell
**Energy relative to the lowest polymorph listed for this composition**: 0.0000 eV per atom

The structure in CIF format:
```
data_La2SmPb
_symmetry_space_group_name_H-M 'P 4/m m m'
_symmetry_Int_Tables_number 123
_symmetry_space_group_name_Hall '-P 4 2'
_cell_length_a 4.977
_cell_length_b 4.977
_cell_length_c 5.135
_cell_angle_alpha 90.00
_cell_angle_beta 90.00
_cell_angle_gamma 90.00
loop_
_atom_site_label
_atom_site_fract_x
_atom_site_fract_y
_atom_site_fract_z
La1 0.000 0.500 0.000
Sm1 0.000 0.000 0.500
Pb1 0.500 0.500 0.500
```